1.
VASP calculation (PBE-GGA) on CrNi3H after structural relaxation.

Computed properties:
Excess energy over the best structure of this formula in the dataset = 1.7086 eV/atom
VASP energy = -21.73 eV for the cell shown

abc: 4.2648 4.2648 4.2648
angles: 90.00 90.00 90.00
With the nearest neighbours (Å) after each atom.
Fractional coordinates of all 5 atoms:
Cr  0.0000  0.0000  0.0000  6 Ni 2.13
Ni  0.0000  0.0000  0.5000  2 Cr 2.13
Ni  0.0000  0.5000  0.0000  2 Cr 2.13
Ni  0.5000  0.0000  0.0000  2 Cr 2.13
H  0.5000  0.5000  0.5000  12 Ni 3.02

2.
VASP calculation (PBE-GGA) on LaZn2PbCl after structural relaxation.

Computed properties:
Energy relative to the elements, uncorrected = -0.022 eV per atom
VASP energy = -13.14 eV for the cell shown

abc: 5.1060 5.1060 6.5190
angles: 90.00 90.00 90.00
With the nearest neighbours (Å) after each atom.
Fractional coordinates of all 5 atoms:
La  0.0000  0.0000  0.0000  2 Pb 3.26, 4 Cl 3.61
Zn  0.0000  0.5000  0.5000  2 Pb 2.55
Zn  0.5000  0.0000  0.5000  2 Pb 2.55
Pb  0.0000  0.0000  0.5000  4 Zn 2.55
Cl  0.5000  0.5000  0.0000  4 La 3.61

3.
VASP calculation (PBE-GGA) on Ce2Pr5Pt4 after structural relaxation.

Computed properties:
VASP energy = -66.05 eV for the cell shown

abc: 12.6299 12.6299 7.0388
angles: 91.87 91.87 17.58
With the nearest neighbours (Å) after each atom.
Fractional coordinates of all 11 atoms:
Ce  0.0891  0.0891  0.1452  4 Pt 2.83-3.01
Ce  0.9109  0.9109  0.8548  4 Pt 2.83-3.01
Pr  0.1348  0.1348  0.6711  3 Pt 2.93-3.02
Pr  0.2303  0.2303  0.2315  3 Pt 3.00
Pr  0.5000  0.5000  0.5000  4 Pt 2.94
Pr  0.7697  0.7697  0.7685  3 Pt 3.00
Pr  0.8652  0.8652  0.3289  3 Pt 2.93-3.02
Pt  0.0249  0.0249  0.8054  2 Ce 2.83-2.88, 3 Pr 2.93-2.94, 1 Pt 3.05
Pt  0.3319  0.3319  0.0165  5 Pr 3.00-3.02, 2 Ce 3.01
Pt  0.6681  0.6681  0.9835  5 Pr 3.00-3.02, 2 Ce 3.01
Pt  0.9751  0.9751  0.1946  2 Ce 2.83-2.88, 3 Pr 2.93-2.94, 1 Pt 3.05

4.
VASP calculation (PBE-GGA) on ZrCoRh after structural relaxation.

Computed properties:
VASP energy = -22.65 eV for the cell shown

abc: 2.8637 2.8637 6.6970
angles: 90.00 90.00 120.00
With the nearest neighbours (Å) after each atom.
Fractional coordinates of all 3 atoms:
Zr  0.0000  0.0000  0.0000  3 Co 2.84, 6 Zr 2.86, 3 Rh 2.89
Co  0.6667  0.3333  0.3446  3 Rh 2.61, 3 Zr 2.84, 6 Co 2.86
Rh  0.3333  0.6667  0.6468  3 Co 2.61, 6 Rh 2.86, 3 Zr 2.89

5.
VASP calculation (PBE-GGA) on Sn3Ge after structural relaxation.

Computed properties:
VASP energy = -16.00 eV for the cell shown

abc: 5.9223 5.9223 5.9223
angles: 134.65 134.65 66.07
With the nearest neighbours (Å) after each atom.
Fractional coordinates of all 4 atoms:
Sn  0.0000  0.0000  0.0000  4 Ge 3.23, 8 Sn 3.37
Sn  0.2500  0.7500  0.5000  8 Sn 3.23-3.37, 4 Ge 3.37
Sn  0.7500  0.2500  0.5000  8 Sn 3.23-3.37, 4 Ge 3.37
Ge  0.5000  0.5000  0.0000  12 Sn 3.23-3.37

6.
VASP calculation (PBE-GGA) on HgRu after structural relaxation.

Computed properties:
VASP energy = -16.44 eV for the cell shown

abc: 4.9740 4.9740 4.9740
angles: 130.62 130.62 72.42
With the nearest neighbours (Å) after each atom.
Fractional coordinates of all 4 atoms:
Hg  0.3750  0.6250  0.7500  4 Hg 2.89, 8 Ru 2.89-2.94
Hg  0.6250  0.3750  0.2500  4 Hg 2.89, 8 Ru 2.89-2.94
Ru  0.1250  0.8750  0.2500  4 Ru 2.89, 8 Hg 2.89-2.94
Ru  0.8750  0.1250  0.7500  8 Hg 2.89-2.94, 4 Ru 2.89

7.
VASP calculation (PBE-GGA) on Rb2AgPCl6 after structural relaxation.

Computed properties:
Energy relative to the elements, uncorrected = -1.088 eV per atom
VASP energy = -32.15 eV for the cell shown

abc: 7.2827 7.2827 7.2827
angles: 60.00 60.00 60.00
With the nearest neighbours (Å) after each atom.
Fractional coordinates of all 10 atoms:
Rb  0.2500  0.2500  0.2500  12 Cl 3.64
Rb  0.7500  0.7500  0.7500  12 Cl 3.64
Ag  0.0000  0.0000  0.0000  6 Cl 2.72
P  0.5000  0.5000  0.5000  6 Cl 2.43
Cl  0.2638  0.2638  0.7362  1 P 2.43, 1 Ag 2.72
Cl  0.2638  0.7362  0.2638  1 P 2.43, 1 Ag 2.72
Cl  0.2638  0.7362  0.7362  1 P 2.43, 1 Ag 2.72
Cl  0.7362  0.2638  0.2638  1 P 2.43, 1 Ag 2.72
Cl  0.7362  0.2638  0.7362  1 P 2.43, 1 Ag 2.72
Cl  0.7362  0.7362  0.2638  1 P 2.43, 1 Ag 2.72

8.
VASP calculation (PBE-GGA) on Y2Ge2As after structural relaxation.

Computed properties:
Excess energy over the best structure of this formula in the dataset = 0.0000 eV/atom
VASP energy = -60.98 eV for the cell shown

abc: 7.6558 7.6558 4.2119
angles: 90.00 90.00 90.00
With the nearest neighbours (Å) after each atom.
Fractional coordinates of all 10 atoms:
Y  0.1832  0.3168  0.0000  2 As 2.80, 2 Ge 3.05
Y  0.3168  0.8168  0.0000  2 As 2.80, 2 Ge 3.05
Y  0.6832  0.1832  0.0000  2 As 2.80, 2 Ge 3.05
Y  0.8168  0.6832  0.0000  2 As 2.80, 2 Ge 3.05
Ge  0.1126  0.6126  0.5000  1 Ge 2.44
Ge  0.3874  0.1126  0.5000  1 Ge 2.44
Ge  0.6126  0.8874  0.5000  1 Ge 2.44
Ge  0.8874  0.3874  0.5000  1 Ge 2.44
As  0.0000  0.0000  0.0000  4 Y 2.80
As  0.5000  0.5000  0.0000  4 Y 2.80

9.
VASP calculation (PBE-GGA) on Be4ReSe after structural relaxation.

Computed properties:
Energy relative to the elements, uncorrected = 0.084 eV per atom
VASP energy = -30.33 eV for the cell shown

abc: 4.4495 4.4495 4.4495
angles: 60.00 60.00 60.00
With the nearest neighbours (Å) after each atom.
Fractional coordinates of all 6 atoms:
Be  0.3789  0.3789  0.3789  6 Be 2.16-2.29
Be  0.3789  0.3789  0.8634  6 Be 2.16-2.29
Be  0.3789  0.8634  0.3789  6 Be 2.16-2.29
Be  0.8634  0.3789  0.3789  6 Be 2.16-2.29
Re  0.7500  0.7500  0.7500  12 Be 2.60, 4 Se 2.72
Se  0.0000  0.0000  0.0000  12 Be 2.62, 4 Re 2.72

10.
VASP calculation (PBE-GGA) on Y2In3Cl9 after structural relaxation.

Computed properties:
Energy relative to the elements, uncorrected = -1.630 eV per atom
VASP energy = -121.17 eV for the cell shown

abc: 9.7253 9.7253 9.7253
angles: 84.66 84.66 84.66
With the nearest neighbours (Å) after each atom.
Fractional coordinates of all 28 atoms:
Y  0.1447  0.1447  0.1447  6 Cl 2.56-2.77
Y  0.3553  0.3553  0.3553  6 Cl 2.56-2.77
Y  0.6447  0.6447  0.6447  6 Cl 2.56-2.77
Y  0.8553  0.8553  0.8553  6 Cl 2.56-2.77
In  0.0412  0.7500  0.4588  6 Cl 3.30-3.54
In  0.2500  0.5412  0.9588  6 Cl 3.30-3.54
In  0.4588  0.0412  0.7500  6 Cl 3.30-3.54
In  0.5412  0.9588  0.2500  6 Cl 3.30-3.54
In  0.7500  0.4588  0.0412  6 Cl 3.30-3.54
In  0.9588  0.2500  0.5412  6 Cl 3.30-3.54
Cl  0.0656  0.2798  0.9227  1 Y 2.56
Cl  0.0773  0.9344  0.7202  1 Y 2.56
Cl  0.0986  0.4014  0.2500  2 Y 2.77
Cl  0.2202  0.4344  0.5773  1 Y 2.56
Cl  0.2500  0.0986  0.4014  2 Y 2.77
Cl  0.2798  0.9227  0.0656  1 Y 2.56
Cl  0.4014  0.2500  0.0986  2 Y 2.77
Cl  0.4227  0.7798  0.5656  1 Y 2.56
Cl  0.4344  0.5773  0.2202  1 Y 2.56
Cl  0.5656  0.4227  0.7798  1 Y 2.56
Cl  0.5773  0.2202  0.4344  1 Y 2.56
Cl  0.5986  0.7500  0.9014  2 Y 2.77
Cl  0.7202  0.0773  0.9344  1 Y 2.56
Cl  0.7500  0.9014  0.5986  2 Y 2.77
Cl  0.7798  0.5656  0.4227  1 Y 2.56
Cl  0.9014  0.5986  0.7500  2 Y 2.77
Cl  0.9227  0.0656  0.2798  1 Y 2.56
Cl  0.9344  0.7202  0.0773  1 Y 2.56

11.
VASP calculation (PBE-GGA) on Pm2NdDy4Er after structural relaxation.

Computed properties:
VASP energy = -67.81 eV for the cell shown

abc: 6.8238 9.5200 9.5318
angles: 76.81 69.03 69.02
With the nearest neighbours (Å) after each atom.
Fractional coordinates of all 16 atoms:
Pm  0.0000  0.0000  0.0000  6 Dy 3.38-3.46, 2 Pm 3.41
Pm  0.0000  0.0000  0.5000  6 Dy 3.32-3.42, 2 Nd 3.41
Pm  0.0000  0.5000  0.0000  6 Dy 3.32-3.42, 2 Nd 3.41
Pm  0.5000  0.0000  0.0000  6 Dy 3.38-3.46, 2 Pm 3.41
Nd  0.5000  0.0000  0.5000  6 Dy 3.32-3.42, 2 Pm 3.41
Nd  0.5000  0.5000  0.0000  6 Dy 3.32-3.42, 2 Pm 3.41
Dy  0.2454  0.2544  0.2544  1 Er 3.26, 3 Pm 3.38-3.42, 2 Dy 3.41, 2 Nd 3.42
Dy  0.2482  0.2540  0.7463  3 Pm 3.32-3.46, 1 Nd 3.32, 2 Er 3.37-3.38, 2 Dy 3.41
Dy  0.2514  0.7463  0.2540  3 Pm 3.32-3.46, 1 Nd 3.32, 2 Er 3.37-3.38, 2 Dy 3.41
Dy  0.2542  0.7456  0.7456  1 Er 3.26, 3 Pm 3.38-3.42, 2 Dy 3.41, 2 Nd 3.42
Dy  0.7458  0.2544  0.2544  1 Er 3.26, 3 Pm 3.38-3.42, 2 Dy 3.41, 2 Nd 3.42
Dy  0.7486  0.2537  0.7460  3 Pm 3.32-3.46, 1 Nd 3.32, 2 Er 3.37-3.38, 2 Dy 3.41
Dy  0.7518  0.7460  0.2537  3 Pm 3.32-3.46, 1 Nd 3.32, 2 Er 3.37-3.38, 2 Dy 3.41
Dy  0.7546  0.7456  0.7456  1 Er 3.26, 3 Pm 3.38-3.42, 2 Dy 3.41, 2 Nd 3.42
Er  0.0000  0.5000  0.5000  6 Dy 3.26-3.38, 2 Er 3.41
Er  0.5000  0.5000  0.5000  6 Dy 3.26-3.38, 2 Er 3.41

12.
VASP calculation (PBE-GGA) on Y2Er6Tm after structural relaxation.

Computed properties:
VASP energy = -44.55 eV for the cell shown

abc: 3.5231 8.6095 9.3042
angles: 90.02 100.85 90.06
With the nearest neighbours (Å) after each atom.
Fractional coordinates of all 9 atoms:
Y  0.0560  0.3332  0.1116  7 Er 3.51-3.54, 2 Tm 3.52, 3 Y 3.52
Y  0.9440  0.6668  0.8884  7 Er 3.51-3.54, 2 Tm 3.52, 3 Y 3.52
Er  0.1668  0.0005  0.3335  9 Er 3.50-3.52, 1 Y 3.51, 2 Tm 3.52
Er  0.2767  0.6668  0.5540  10 Er 3.49-3.53, 2 Y 3.53
Er  0.3883  0.3312  0.7761  7 Er 3.49-3.53, 1 Tm 3.51, 4 Y 3.53-3.54
Er  0.6117  0.6688  0.2239  7 Er 3.49-3.53, 1 Tm 3.51, 4 Y 3.53-3.54
Er  0.7233  0.3332  0.4460  10 Er 3.49-3.53, 2 Y 3.53
Er  0.8332  0.9995  0.6665  9 Er 3.50-3.52, 1 Y 3.51, 2 Tm 3.52
Tm  0.5000  0.0000  0.0000  6 Er 3.51-3.52, 4 Y 3.52, 2 Tm 3.52

Question: Which of these has the lowest VASP energy?
Answer: Y2In3Cl9